(1)
Material: FeAsS2Cl
Method: DFT, PBE
State: relaxed

```
FeAsS2Cl
1.0
-0.363 3.016 -3.765
-4.330 1.461 1.588
2.086 3.422 2.540
S Fe Cl As
2 1 1 1
Direct
0.500 0.000 0.000 S
0.000 0.500 0.000 S
0.500 0.500 0.500 Fe
0.000 0.000 0.500 Cl
0.000 0.000 0.000 As
```

Spin magnetization   3.844 μB/f.u.
Energy above the lowest structure with this stoichiometry   0.265 eV per atom
VASP energy   -3.997 eV per atom

=====

(2)
Material: FeAsSCl2
Method: DFT, PBE
State: relaxed

```
FeAsSCl2
1.0
-1.581 4.606 -0.760
-3.960 -0.898 2.794
2.479 1.511 3.999
S As Fe Cl
1 1 1 2
Direct
0.000 0.000 0.500 S
0.000 0.000 0.000 As
0.500 0.500 0.500 Fe
0.000 0.500 0.000 Cl
0.500 0.000 0.000 Cl
```

Spin magnetization   3.810 μB/f.u.
Energy above the lowest structure with this stoichiometry   0.238 eV per atom
VASP energy   -3.702 eV per atom

=====

(3)
Material: FeAsS2Cl
Method: DFT, PBE
State: relaxed

```
FeAsS2Cl
1.0
-3.646 -1.365 2.125
-0.813 -2.898 -3.258
2.423 -3.110 2.161
S Fe Cl As
2 1 1 1
Direct
0.500 0.000 0.000 S
0.000 0.500 0.000 S
0.000 0.000 0.000 Fe
0.000 0.000 0.500 Cl
0.500 0.500 0.500 As
```

Spin magnetization   0.001 μB/f.u.
Energy above the lowest structure with this stoichiometry   0.000 eV per atom
VASP energy   -4.262 eV per atom

=====

(4)
Material: FeAsSCl2
Method: DFT, PBE
State: relaxed

```
FeAsSCl2
1.0
-2.020 2.688 -3.018
1.221 -2.810 -3.321
-3.819 -2.281 0.525
Cl S Fe As
2 1 1 1
Direct
0.000 0.500 0.000 Cl
0.500 0.000 0.000 Cl
0.000 0.000 0.500 S
0.000 0.000 0.000 Fe
0.500 0.500 0.500 As
```

Spin magnetization   1.590 μB/f.u.
Energy above the lowest structure with this stoichiometry   0.000 eV per atom
VASP energy   -3.940 eV per atom

=====

(5)
Material: ScFeAsCl2
Method: DFT, PBE
State: relaxed

```
ScFeAsCl2
1.0
4.418 0.000 0.000
0.000 5.326 0.000
0.000 0.000 4.418
Cl As Sc Fe
2 1 1 1
Direct
0.000 0.000 0.500 Cl
0.500 0.000 0.000 Cl
0.000 0.500 0.000 As
0.500 0.500 0.500 Sc
0.000 0.000 0.000 Fe
```

Spin magnetization   2.593 μB/f.u.
VASP energy   -4.917 eV per atom

=====

(6)
Material: TlFeAs2Cl
Method: DFT, PBE
State: relaxed

```
TlFeAs2Cl
1.0
-2.635 -4.301 -1.552
1.259 -1.962 3.298
-4.266 1.668 2.620
As Fe Tl Cl
2 1 1 1
Direct
0.500 0.000 0.000 As
0.000 0.000 0.500 As
0.000 0.500 0.000 Fe
0.500 0.500 0.500 Tl
0.000 0.000 0.000 Cl
```

Spin magnetization   2.866 μB/f.u.
VASP energy   -3.513 eV per atom